Entry 1:
Material: Y2ScRu
Method: DFT, PBE
State: relaxed

```
data_Y2ScRu
_chemical_formula_sum 'Y4 Sc2 Ru2'
_cell_length_a 3.4913
_cell_length_b 5.1823
_cell_length_c 10.7021
_cell_angle_alpha 90.00
_cell_angle_beta 90.00
_cell_angle_gamma 90.00
_space_group_name_H-M_alt 'I m m 2'
_space_group_IT_number 44
_space_group_name_Hall 'I 2 -2'
loop_
_atom_site_label
_atom_site_fract_x
_atom_site_fract_y
_atom_site_fract_z
Y1 0.0000 0.0000 0.0000
Y2 0.0000 0.5000 0.2025
Sc1 0.0000 0.0000 0.3966
Ru1 0.0000 0.5000 0.7118
```

The polymorph energy (0 for the lowest one) is 68.2 meV per atom.

***

Entry 2:
Material: Y4SnAu3
Method: DFT, PBE
State: relaxed

```
data_Y4SnAu3
_chemical_formula_sum 'Y4 Sn1 Au3'
_cell_length_a 3.8334
_cell_length_b 4.6740
_cell_length_c 11.2207
_cell_angle_alpha 90.00
_cell_angle_beta 90.00
_cell_angle_gamma 90.00
_space_group_name_H-M_alt 'P m m 2'
_space_group_IT_number 25
_space_group_name_Hall 'P 2 -2'
loop_
_atom_site_label
_atom_site_fract_x
_atom_site_fract_y
_atom_site_fract_z
Y1 0.0000 0.0000 0.0000
Y2 0.0000 0.5000 0.2682
Y3 0.5000 0.0000 0.4802
Y4 0.5000 0.5000 0.7804
Sn1 0.0000 0.0000 0.7131
Au1 0.0000 0.5000 0.5390
Au2 0.5000 0.0000 0.2161
Au3 0.5000 0.5000 0.0464
```

The calculation puts the total energy at -5.7930 eV/atom.